[1]
Here is an optimized crystal structure of CrBPAuI from the Alexandria database. Energies are from PBE. Values from VASP.

Results
* ΔE_f (raw): 13 kJ per mole of atoms
* space group: P1
* energy above the lowest structure with this stoichiometry: 0.020 eV/atom

The structure in Quantum ESPRESSO input format:
```
&SYSTEM
  ibrav = 0, nat = 5, ntyp = 5
/
ATOMIC_SPECIES
P 30.97 P.upf
Au 196.97 Au.upf
B 10.81 B.upf
Cr 52.00 Cr.upf
I 126.90 I.upf
CELL_PARAMETERS angstrom
3.299 0.000 0.010
1.648 5.423 -0.247
0.141 1.414 7.448
ATOMIC_POSITIONS angstrom
P 2.902 4.498 2.071
Au 2.904 2.133 1.753
B 4.552 5.372 1.647
Cr 1.259 0.491 0.271
I 3.055 1.836 5.643
```

[2]
Here is an optimized crystal structure of PaZnHg2 from the Alexandria database. Energies are from PBE. Values from VASP.

Results
* space group: P4/mmm
* calculated formation energy: 0.097 eV per atom
* energy above the lowest structure with this stoichiometry: 0.021 eV/atom

The structure in Quantum ESPRESSO input format:
```
&SYSTEM
  ibrav = 0, nat = 4, ntyp = 3
/
ATOMIC_SPECIES
Zn 65.41 Zn.upf
Hg 200.59 Hg.upf
Pa 231.04 Pa.upf
CELL_PARAMETERS angstrom
-2.000 -0.872 -2.371
2.244 -2.003 -1.156
-3.005 -6.133 4.792
ATOMIC_POSITIONS angstrom
Zn 0.122 -1.438 -1.764
Hg -2.351 -4.797 3.749
Hg -0.654 -1.335 1.043
Pa -1.381 -4.504 0.633
```

[3]
Here is an optimized crystal structure of YBe2Pt2 from the Alexandria database. Energies are from PBE. Values from VASP.

Results
* space group: P4/nmm
* calculated formation energy: -0.920 eV per atom
* energy above the lowest structure with this stoichiometry: 0.000 eV/atom

The structure in Quantum ESPRESSO input format:
```
&SYSTEM
  ibrav = 0, nat = 10, ntyp = 3
/
ATOMIC_SPECIES
Y 88.91 Y.upf
Be 9.01 Be.upf
Pt 195.08 Pt.upf
CELL_PARAMETERS angstrom
4.012 0.000 0.000
0.000 4.012 0.000
0.000 0.000 9.536
ATOMIC_POSITIONS angstrom
Y 2.006 0.000 2.370
Y 0.000 2.006 7.167
Be 0.000 0.000 0.000
Be 0.000 2.006 3.561
Be 2.006 0.000 5.976
Be 2.006 2.006 0.000
Pt 0.000 0.000 4.768
Pt 2.006 2.006 4.768
Pt 0.000 2.006 1.205
Pt 2.006 0.000 8.332
```

[4]
Here is an optimized crystal structure of CoReSbRh2 from the Alexandria database. Energies are from PBE. Values from VASP.

Results
* ΔE_f (raw): 106 kJ per mole of atoms
* space group: P4/mmm

The structure in Quantum ESPRESSO input format:
```
&SYSTEM
  ibrav = 0, nat = 5, ntyp = 4
/
ATOMIC_SPECIES
Re 186.21 Re.upf
Co 58.93 Co.upf
Rh 102.91 Rh.upf
Sb 121.76 Sb.upf
CELL_PARAMETERS angstrom
-3.297 2.832 1.904
-3.162 -2.189 -2.219
-0.477 -3.003 3.642
ATOMIC_POSITIONS angstrom
Re 0.000 0.000 0.000
Co -1.581 -1.095 -1.109
Rh -0.238 -1.502 1.821
Rh -1.648 1.416 0.952
Sb -3.468 -1.180 1.663
```

[5]
Here is an optimized crystal structure of HfTi3Mo from the Alexandria database. Energies are from PBE. Values from VASP.

Results
* space group: Cmcm
* calculated formation energy: 0.140 eV per atom
* energy above the lowest structure with this stoichiometry: 0.000 eV/atom

The structure in Quantum ESPRESSO input format:
```
&SYSTEM
  ibrav = 0, nat = 10, ntyp = 3
/
ATOMIC_SPECIES
Ti 47.87 Ti.upf
Mo 95.94 Mo.upf
Hf 178.49 Hf.upf
CELL_PARAMETERS angstrom
-5.127 -0.545 -0.753
0.200 -5.222 2.422
-1.174 5.121 4.289
ATOMIC_POSITIONS angstrom
Ti -1.553 -0.688 2.056
Ti -1.863 -1.157 4.509
Ti -1.452 -3.309 3.272
Ti -4.239 0.510 1.450
Ti -4.549 0.041 3.902
Ti -4.649 2.663 2.686
Mo -2.563 -0.273 -0.376
Mo 0.000 0.000 0.000
Hf -3.925 -2.600 1.568
Hf -2.176 1.953 4.391
```

[6]
Here is an optimized crystal structure of ZnBrCl from the Alexandria database. Energies are from PBE. Values from VASP.

Results
* ΔE_f (raw): -90 kJ per mole of atoms
* space group: C2/m
* energy above the lowest structure with this stoichiometry: 0.079 eV/atom

The structure in Quantum ESPRESSO input format:
```
&SYSTEM
  ibrav = 0, nat = 12, ntyp = 3
/
ATOMIC_SPECIES
Br 79.90 Br.upf
Cl 35.45 Cl.upf
Zn 65.41 Zn.upf
CELL_PARAMETERS angstrom
-0.468 -5.100 -3.816
3.081 -1.412 1.510
-7.016 -1.409 13.001
ATOMIC_POSITIONS angstrom
Br -1.112 -1.781 0.603
Br -3.080 -3.192 7.858
Br -1.324 -4.730 2.836
Br -6.373 -4.728 8.582
Cl -4.954 -5.110 5.328
Cl -2.531 -1.399 3.857
Cl 0.095 -5.112 -0.418
Cl -4.499 -2.810 11.112
Zn -4.077 -5.609 7.632
Zn -2.109 -4.198 0.377
Zn -5.375 -2.311 8.808
Zn -0.327 -2.313 3.062
```

[7]
Here is an optimized crystal structure of SrMo2Pb from the Alexandria database. Energies are from PBE. Values from VASP.

Results
* space group: C2/m
* calculated formation energy: 1.025 eV per atom

The structure in Quantum ESPRESSO input format:
```
&SYSTEM
  ibrav = 0, nat = 4, ntyp = 3
/
ATOMIC_SPECIES
Pb 207.20 Pb.upf
Mo 95.94 Mo.upf
Sr 87.62 Sr.upf
CELL_PARAMETERS angstrom
6.008 -0.002 -0.001
-2.581 5.113 0.014
0.575 0.627 2.817
ATOMIC_POSITIONS angstrom
Pb 1.713 2.555 0.006
Mo 0.000 0.000 0.000
Mo -1.003 2.870 1.416
Sr 3.292 0.313 1.408
```

[8]
Here is an optimized crystal structure of Ca2HfTaP4 from the Alexandria database. Energies are from PBE. Values from VASP.

Results
* space group: P2/m
* calculated formation energy: -1.080 eV per atom

The structure in Quantum ESPRESSO input format:
```
&SYSTEM
  ibrav = 0, nat = 8, ntyp = 4
/
ATOMIC_SPECIES
P 30.97 P.upf
Ca 40.08 Ca.upf
Hf 178.49 Hf.upf
Ta 180.95 Ta.upf
CELL_PARAMETERS angstrom
3.741 0.000 0.000
0.000 6.496 0.121
0.000 -2.268 6.566
ATOMIC_POSITIONS angstrom
P 0.000 -0.040 5.160
P 1.870 1.100 1.486
P 0.000 4.269 1.527
P 1.870 3.129 5.201
Ca 0.000 2.114 3.343
Ca 1.870 -1.134 3.283
Hf 0.000 0.000 0.000
Ta 1.870 3.248 0.060
```

[9]
Here is an optimized crystal structure of DyEr5Ni2 from the Alexandria database. Energies are from PBE. Values from VASP.

Results
* space group: Immm
* calculated formation energy: -0.129 eV per atom
* energy above the lowest structure with this stoichiometry: 0.040 eV/atom

The structure in Quantum ESPRESSO input format:
```
&SYSTEM
  ibrav = 0, nat = 8, ntyp = 3
/
ATOMIC_SPECIES
Er 167.26 Er.upf
Dy 162.50 Dy.upf
Ni 58.69 Ni.upf
CELL_PARAMETERS angstrom
4.374 0.000 0.000
2.187 7.504 0.997
2.187 3.209 6.857
ATOMIC_POSITIONS angstrom
Er 4.374 4.751 1.352
Er 4.374 5.961 6.501
Er 4.374 7.994 3.729
Er 4.374 2.719 4.124
Er 2.187 5.356 3.927
Dy 0.000 0.000 0.000
Ni 2.187 3.196 2.343
Ni 6.560 7.517 5.510
```

[10]
Here is an optimized crystal structure of RhI4 from the Alexandria database. Energies are from PBE. Values from VASP.

Results
* ΔE_f (raw): 20 kJ per mole of atoms
* space group: Pm-3m
* energy above the lowest structure with this stoichiometry: 0.321 eV/atom

The structure in Quantum ESPRESSO input format:
```
&SYSTEM
  ibrav = 0, nat = 5, ntyp = 2
/
ATOMIC_SPECIES
I 126.90 I.upf
Rh 102.91 Rh.upf
CELL_PARAMETERS angstrom
5.438 0.000 0.000
0.000 5.438 0.000
0.000 0.000 5.438
ATOMIC_POSITIONS angstrom
I 0.000 2.719 2.719
I 2.719 0.000 2.719
I 0.000 0.000 0.000
I 2.719 2.719 0.000
Rh 2.719 2.719 2.719
```

[11]
Here is an optimized crystal structure of Y5Re3 from the Alexandria database. Energies are from PBE. Values from VASP.

Results
* space group: P6_3/mcm
* calculated formation energy: 0.283 eV per atom
* energy above the lowest structure with this stoichiometry: 0.000 eV/atom

The structure in Quantum ESPRESSO input format:
```
&SYSTEM
  ibrav = 0, nat = 16, ntyp = 2
/
ATOMIC_SPECIES
Y 88.91 Y.upf
Re 186.21 Re.upf
CELL_PARAMETERS angstrom
8.427 0.002 0.000
-4.214 7.297 0.000
0.000 0.000 6.183
ATOMIC_POSITIONS angstrom
Y 4.213 2.433 0.000
Y -3.110 5.385 4.637
Y 0.000 4.865 0.000
Y 7.323 1.913 1.546
Y 4.213 2.433 3.091
Y 3.109 5.387 1.546
Y 2.207 0.000 1.546
Y 1.104 1.912 4.637
Y 0.000 4.865 3.091
Y 6.219 0.001 4.637
Re 2.537 4.395 4.637
Re 3.353 0.001 4.637
Re 5.889 4.395 1.546
Re 5.074 0.001 1.546
Re 1.676 2.904 1.546
Re 6.750 2.905 4.637
```

[12]
Here is an optimized crystal structure of Pr3Cd3Ag from the Alexandria database. Energies are from PBE. Values from VASP.

Results
* space group: Imm2
* calculated formation energy: -0.284 eV per atom

The structure in Quantum ESPRESSO input format:
```
&SYSTEM
  ibrav = 0, nat = 7, ntyp = 3
/
ATOMIC_SPECIES
Pr 140.91 Pr.upf
Cd 112.41 Cd.upf
Ag 107.87 Ag.upf
CELL_PARAMETERS angstrom
4.929 0.000 -1.075
-0.174 3.431 -0.797
-0.144 0.776 11.173
ATOMIC_POSITIONS angstrom
Pr 1.282 3.242 5.874
Pr 3.345 0.983 3.501
Pr 4.596 4.191 9.235
Cd 4.075 1.796 6.844
Cd 0.541 2.416 2.482
Cd 2.670 2.041 0.403
Ag 1.934 2.157 8.865
```